A:
Material: IrPd3N
Method: DFT, PBE-GGA
State: relaxed

Cell: 4.8812 4.8812 4.8812 Å, 90.00 90.00 90.00°
Closest atoms and distances in Å follow each position.
Space group Pm-3m (No. 221)
Symmetry-distinct sites (fractional):
Ir 0.0000 0.0000 0.0000 x1  6 Pd 2.44
Pd 0.0000 0.0000 0.5000 x3  2 Ir 2.44
N 0.5000 0.5000 0.5000 x1  12 Pd 3.45

V	23.3	Å³ per atom
magnetic moment	3.86	μB per cell

---

B:
Material: IrPd3N
Method: DFT, PBE-GGA
State: relaxed

Cell: 4.1200 4.1200 4.1200 Å, 90.00 90.00 90.00°
Closest atoms and distances in Å follow each position.
Space group Pm-3m (No. 221)
Symmetry-distinct sites (fractional):
Ir 0.0000 0.0000 0.0000 x1  12 Pd 2.91
Pd 0.0000 0.5000 0.5000 x3  2 N 2.06
N 0.5000 0.5000 0.5000 x1  6 Pd 2.06

V	14.0	Å³ per atom
magnetic moment	0.00	μB per cell

---

It is B that is most stable; the runner-up trails by 1519 meV per atom.

---

A:
Material: IrPdS2N
Method: DFT, PBE-GGA
State: relaxed

Cell: 4.8504 4.8504 3.6212 Å, 90.00 90.00 90.00°
Closest atoms and distances in Å follow each position.
Space group P4/mmm (No. 123)
Symmetry-distinct sites (fractional):
Ir 0.0000 0.0000 0.0000 x1  2 N 1.81
Pd 0.5000 0.5000 0.5000 x1  8 S 3.03
S 0.0000 0.5000 0.0000 x2  2 Ir 2.43
N 0.0000 0.0000 0.5000 x1  2 Ir 1.81

V	17.0	Å³ per atom
magnetic moment	0.00	μB per cell

---

B:
Material: IrPdS2N
Method: DFT, PBE-GGA
State: relaxed

Cell: 4.7989 4.7989 3.5990 Å, 90.00 90.00 90.00°
Closest atoms and distances in Å follow each position.
Space group P4/mmm (No. 123)
Symmetry-distinct sites (fractional):
Ir 0.0000 0.0000 0.0000 x1  8 S 3.00
Pd 0.5000 0.5000 0.5000 x1  2 N 1.80
S 0.0000 0.5000 0.5000 x2  2 Pd 2.40
N 0.5000 0.5000 0.0000 x1  2 Pd 1.80

V	16.6	Å³ per atom
magnetic moment	0.00	μB per cell

---

It is A that is most stable; the runner-up trails by 781 meV per atom.

---

A:
Material: IrPdSN2
Method: DFT, PBE-GGA
State: relaxed

Cell: 3.7967 3.7967 5.1259 Å, 90.00 90.00 90.00°
Closest atoms and distances in Å follow each position.
Space group P4/mmm (No. 123)
Symmetry-distinct sites (fractional):
Ir 0.0000 0.0000 0.0000 x1  4 S 2.68
Pd 0.5000 0.5000 0.5000 x1  4 N 1.90
S 0.5000 0.5000 0.0000 x1  2 Pd 2.56, 4 Ir 2.68
N 0.0000 0.5000 0.5000 x2  2 Pd 1.90

V	14.8	Å³ per atom
magnetic moment	2.10	μB per cell

---

B:
Material: IrPdSN2
Method: DFT, PBE-GGA
State: relaxed

Cell: 3.7152 3.7152 5.4471 Å, 90.00 90.00 90.00°
Closest atoms and distances in Å follow each position.
Space group P4/mmm (No. 123)
Symmetry-distinct sites (fractional):
Ir 0.0000 0.0000 0.0000 x1  4 N 1.86
Pd 0.5000 0.5000 0.5000 x1  4 S 2.63
S 0.0000 0.0000 0.5000 x1  4 Pd 2.63, 2 Ir 2.72
N 0.0000 0.5000 0.0000 x2  2 Ir 1.86

V	15.0	Å³ per atom
magnetic moment	0.31	μB per cell

---

It is B that is most stable; the runner-up trails by 1075 meV per atom.

---

A:
Material: IrPdSeN2
Method: DFT, PBE-GGA
State: relaxed

Cell: 3.7349 3.7349 5.7481 Å, 90.00 90.00 90.00°
Closest atoms and distances in Å follow each position.
Space group P4/mmm (No. 123)
Symmetry-distinct sites (fractional):
Ir 0.0000 0.0000 0.0000 x1  4 N 1.87
Pd 0.5000 0.5000 0.5000 x1  4 Se 2.64
Se 0.0000 0.0000 0.5000 x1  4 Pd 2.64, 2 Ir 2.87
N 0.0000 0.5000 0.0000 x2  2 Ir 1.87

V	16.0	Å³ per atom
magnetic moment	0.35	μB per cell

---

B:
Material: IrPdSeN2
Method: DFT, PBE-GGA
State: relaxed

Cell: 3.6840 3.6840 7.7522 Å, 90.00 90.00 90.00°
Closest atoms and distances in Å follow each position.
Space group P4/mmm (No. 123)
Symmetry-distinct sites (fractional):
Ir 0.0000 0.0000 0.0000 x1  4 Se 2.60
Pd 0.5000 0.5000 0.5000 x1  4 N 1.84
Se 0.5000 0.5000 0.0000 x1  4 Ir 2.60
N 0.0000 0.5000 0.5000 x2  2 Pd 1.84

V	21.0	Å³ per atom
magnetic moment	0.72	μB per cell

---

It is A that is most stable; the runner-up trails by 1023 meV per atom.

---

A:
Material: IrPdSe2N
Method: DFT, PBE-GGA
State: relaxed

Cell: 5.1161 5.1161 3.6139 Å, 90.00 90.00 90.00°
Closest atoms and distances in Å follow each position.
Space group P4/mmm (No. 123)
Symmetry-distinct sites (fractional):
Ir 0.0000 0.0000 0.0000 x1  2 N 1.81
Pd 0.5000 0.5000 0.5000 x1  8 Se 3.13
Se 0.0000 0.5000 0.0000 x2  2 Ir 2.56
N 0.0000 0.0000 0.5000 x1  2 Ir 1.81

V	18.9	Å³ per atom
magnetic moment	0.00	μB per cell

---

B:
Material: IrPdSe2N
Method: DFT, PBE-GGA
State: relaxed

Cell: 5.0392 5.0392 3.5991 Å, 90.00 90.00 90.00°
Closest atoms and distances in Å follow each position.
Space group P4/mmm (No. 123)
Symmetry-distinct sites (fractional):
Ir 0.0000 0.0000 0.0000 x1  8 Se 3.10
Pd 0.5000 0.5000 0.5000 x1  2 N 1.80
Se 0.0000 0.5000 0.5000 x2  2 Pd 2.52
N 0.5000 0.5000 0.0000 x1  2 Pd 1.80

V	18.3	Å³ per atom
magnetic moment	0.51	μB per cell

---

It is A that is most stable; the runner-up trails by 737 meV per atom.

---

A:
Material: Pm6Ir2N
Method: DFT, PBE-GGA
State: relaxed

Cell: 13.1907 3.8230 11.1202 Å, 90.00 112.16 90.00°
Closest atoms and distances in Å follow each position.
Space group C2/m (No. 12)
Symmetry-distinct sites (fractional):
Pm 0.0080 0.0000 0.2862 x4  1 N 2.42
Pm 0.1545 0.5000 0.0520 x4  3 Ir 2.85-2.91
Pm 0.1867 0.0000 0.6086 x4  1 N 2.30
Ir 0.1768 0.5000 0.8064 x4  7 Pm 2.85-2.96
N 0.0000 0.0000 0.5000 x2  4 Pm 2.30-2.42

V	28.9	Å³ per atom
magnetic moment	0.00	μB per cell

---

B:
Material: Pm6Ir2N
Method: DFT, PBE-GGA
State: relaxed

Cell: 6.5948 7.2808 11.5651 Å, 90.00 122.79 90.00°
Closest atoms and distances in Å follow each position.
Space group P2_1/c (No. 14)
Symmetry-distinct sites (fractional):
Pm 0.1157 0.0410 0.2407 x4  1 N 2.47
Pm 0.2371 0.6899 0.0644 x4  1 N 2.61
Pm 0.3679 0.1698 0.0585 x4  1 N 2.47
Ir 0.3014 0.1014 0.7567 x4  6 Pm 2.84-3.05
N 0.0000 0.0000 0.0000 x2  6 Pm 2.47-2.61

V	25.9	Å³ per atom
magnetic moment	0.00	μB per cell

---

It is B that is most stable; the runner-up trails by 211 meV per atom.